Crystalline PrSm4S7 at its relaxed geometry, computed with GGA-PBE.

```
PrSm4S7
1.0
-2.996 2.159 -1.307
-2.061 -2.776 6.010
5.736 9.898 3.197
Sm S Pr
4 7 1
Cartesian
1.741 8.448 4.090 Sm
0.004 0.012 0.011 Sm
-1.061 0.839 3.818 Sm
1.607 3.767 2.536 Sm
4.201 7.650 3.002 S
-2.341 1.042 1.217 S
1.906 5.560 4.811 S
-1.198 3.721 3.020 S
1.339 5.992 0.955 S
-3.514 1.658 4.921 S
3.015 8.242 6.698 S
-0.937 5.502 5.362 Pr
```

- ΔE_f (raw): -2.0497 eV per atom
- Total DFT energy (no corrections): -77.1 eV/f.u.